# 1
The following is a DFT calculation (PBE) of crystalline Ce2SnOs at its relaxed geometry.

SG = P4/mmm, No. 123
excess energy over the best structure of this formula in the dataset = 0.000 eV per atom
M_tot = 0.000 μB/f.u.
VASP energy = -28.74 eV per cell

Cell: 3.2760 3.2760 8.7617 Å, 90.00 90.00 90.00°
Fractional coordinates of all 4 atoms:
1 Ce 0.0000 0.0000 0.2114
2 Ce 0.0000 0.0000 0.7886
3 Sn 0.5000 0.5000 0.5000
4 Os 0.5000 0.5000 0.0000

=====

# 2
The following is a DFT calculation (PBE) of crystalline Ce6Sn3Os at its relaxed geometry.

SG = R-3m, No. 166
M_tot = 3.181 μB/f.u.
VASP energy = -125.32 eV per cell

Cell: 8.2251 8.2251 8.2251 Å, 85.17 85.17 85.17°
Fractional coordinates of all 20 atoms:
1 Ce 0.1208 0.7790 0.7790
2 Ce 0.1643 0.5196 0.5196
3 Ce 0.2210 0.2210 0.8792
4 Ce 0.2210 0.8792 0.2210
5 Ce 0.4804 0.4804 0.8357
6 Ce 0.4804 0.8357 0.4804
7 Ce 0.5196 0.1643 0.5196
8 Ce 0.5196 0.5196 0.1643
9 Ce 0.7790 0.1208 0.7790
10 Ce 0.7790 0.7790 0.1208
11 Ce 0.8357 0.4804 0.4804
12 Ce 0.8792 0.2210 0.2210
13 Sn 0.1253 0.1253 0.5150
14 Sn 0.1253 0.5150 0.1253
15 Sn 0.4850 0.8747 0.8747
16 Sn 0.5150 0.1253 0.1253
17 Sn 0.8747 0.4850 0.8747
18 Sn 0.8747 0.8747 0.4850
19 Os 0.0000 0.0000 0.0000
20 Os 0.5000 0.5000 0.5000

=====

# 3
The following is a DFT calculation (PBE) of crystalline Ce2SnOs at its relaxed geometry.

SG = C2/m, No. 12
excess energy over the best structure of this formula in the dataset = 0.012 eV per atom
M_tot = 0.586 μB/f.u.
VASP energy = -57.39 eV per cell

Cell: 7.1203 7.1203 7.4122 Å, 91.09 91.09 32.63°
Fractional coordinates of all 8 atoms:
1 Ce 0.0456 0.0456 0.2894
2 Ce 0.2316 0.2316 0.7012
3 Ce 0.7684 0.7684 0.2988
4 Ce 0.9544 0.9544 0.7106
5 Sn 0.3934 0.3934 0.0431
6 Sn 0.6066 0.6066 0.9569
7 Os 0.3955 0.3955 0.4320
8 Os 0.6045 0.6045 0.5680

=====

# 4
The following is a DFT calculation (PBE) of crystalline Ce4SnOs2 at its relaxed geometry.

SG = Cc, No. 9
excess energy over the best structure of this formula in the dataset = 0.000 eV per atom
M_tot = 1.104 μB/f.u.
VASP energy = -104.57 eV per cell

Cell: 8.6333 8.6333 6.8537 Å, 107.00 107.00 121.10°
Fractional coordinates of all 14 atoms:
1 Ce 0.0208 0.9792 0.5000
2 Ce 0.0413 0.4781 0.2935
3 Ce 0.2899 0.8543 0.1440
4 Ce 0.4201 0.5834 0.8277
5 Ce 0.4781 0.0413 0.7935
6 Ce 0.5834 0.4201 0.3277
7 Ce 0.8543 0.2899 0.6440
8 Ce 0.9792 0.0208 0.0000
9 Sn 0.5574 0.7780 0.4622
10 Sn 0.7780 0.5574 0.9622
11 Os 0.0546 0.7259 0.6865
12 Os 0.2107 0.3897 0.0012
13 Os 0.3897 0.2107 0.5012
14 Os 0.7259 0.0546 0.1865

=====

# 5
The following is a DFT calculation (PBE) of crystalline Ce12SnOs6 at its relaxed geometry.

SG = R-3m, No. 166
M_tot = 6.399 μB/f.u.
VASP energy = -143.19 eV per cell

Cell: 8.4273 8.4273 8.4273 Å, 107.48 107.48 107.48°
Fractional coordinates of all 19 atoms:
1 Ce 0.0000 0.3840 0.6160
2 Ce 0.0000 0.6160 0.3840
3 Ce 0.0870 0.0870 0.3482
4 Ce 0.0870 0.3482 0.0870
5 Ce 0.3482 0.0870 0.0870
6 Ce 0.3840 0.0000 0.6160
7 Ce 0.3840 0.6160 0.0000
8 Ce 0.6160 0.0000 0.3840
9 Ce 0.6160 0.3840 0.0000
10 Ce 0.6518 0.9130 0.9130
11 Ce 0.9130 0.6518 0.9130
12 Ce 0.9130 0.9130 0.6518
13 Sn 0.5000 0.5000 0.5000
14 Os 0.1913 0.7761 0.7761
15 Os 0.2239 0.2239 0.8087
16 Os 0.2239 0.8087 0.2239
17 Os 0.7761 0.1913 0.7761
18 Os 0.7761 0.7761 0.1913
19 Os 0.8087 0.2239 0.2239

=====

# 6
The following is a DFT calculation (PBE) of crystalline Ce5SnOs3 at its relaxed geometry.

SG = C2/m, No. 12
M_tot = 2.466 μB/f.u.
VASP energy = -136.42 eV per cell

Cell: 7.6773 7.6773 9.8262 Å, 107.24 107.24 70.89°
Fractional coordinates of all 18 atoms:
1 Ce 0.0437 0.0437 0.3484
2 Ce 0.1344 0.5185 0.3559
3 Ce 0.2032 0.7968 0.0000
4 Ce 0.2673 0.2673 0.9443
5 Ce 0.4815 0.8656 0.6441
6 Ce 0.5185 0.1344 0.3559
7 Ce 0.7327 0.7327 0.0557
8 Ce 0.7968 0.2032 0.0000
9 Ce 0.8656 0.4815 0.6441
10 Ce 0.9563 0.9563 0.6516
11 Sn 0.4119 0.4119 0.7070
12 Sn 0.5881 0.5881 0.2930
13 Os 0.1686 0.1686 0.1618
14 Os 0.1777 0.1777 0.6213
15 Os 0.5000 0.5000 0.0000
16 Os 0.5000 0.5000 0.5000
17 Os 0.8223 0.8223 0.3787
18 Os 0.8314 0.8314 0.8382

=====

# 7
The following is a DFT calculation (PBE) of crystalline Ce2ZnSnOs at its relaxed geometry.

SG = P2_1/m, No. 11
M_tot = 0.654 μB/f.u.
VASP energy = -60.46 eV per cell

Cell: 7.5827 4.2252 7.7711 Å, 90.00 107.10 90.00°
Fractional coordinates of all 10 atoms:
1 Ce 0.1144 0.2500 0.3387
2 Ce 0.2864 0.2500 0.9713
3 Ce 0.7136 0.7500 0.0287
4 Ce 0.8856 0.7500 0.6613
5 Zn 0.4445 0.7500 0.3373
6 Zn 0.5555 0.2500 0.6627
7 Sn 0.3244 0.7500 0.6626
8 Sn 0.6756 0.2500 0.3374
9 Os 0.1236 0.7500 0.1012
10 Os 0.8764 0.2500 0.8988

=====

# 8
The following is a DFT calculation (PBE) of crystalline SrCe3Os at its relaxed geometry.

SG = Pm-3m, No. 221
M_tot = 3.203 μB/f.u.
VASP energy = -30.38 eV per cell

Cell: 5.5797 5.5797 5.5797 Å, 90.00 90.00 90.00°
Fractional coordinates of all 5 atoms:
1 Sr 0.0000 0.0000 0.0000
2 Ce 0.0000 0.5000 0.5000
3 Ce 0.5000 0.0000 0.5000
4 Ce 0.5000 0.5000 0.0000
5 Os 0.5000 0.5000 0.5000

=====

Table of formation enthalpy at 0 K (eV per atom), in record order: -0.410; -0.382; -0.398; -0.298; -0.032; -0.094; -0.371; 0.067